# 1
A geometry-optimized Ga2SbAuS structure, computed with PBE-GGA.

a = 4.8759 Å, b = 4.8759 Å, c = 5.2120 Å
α = 90.00°, β = 90.00°, γ = 90.00°
Space group P4/mmm (No. 123)
Inequivalent atoms, fractional coordinates:
Ga 0.0000 0.5000 0.0000 (multiplicity 2)
Sb 0.0000 0.0000 0.5000 (multiplicity 1)
Au 0.5000 0.5000 0.5000 (multiplicity 1)
S 0.0000 0.0000 0.0000 (multiplicity 1)

The value obtained for the formation energy from raw total energies is 407 meV per atom.


# 2
A geometry-optimized K3Pr3GeO8 structure, computed with PBE-GGA.

a = 7.0479 Å, b = 7.0479 Å, c = 18.9722 Å
α = 90.00°, β = 90.00°, γ = 120.00°
Space group R-3m (No. 166, hexagonal axes)
Inequivalent atoms, fractional coordinates:
K 0.0000 0.5000 0.0000 (multiplicity 9)
Pr 0.0000 0.5000 0.5000 (multiplicity 9)
Ge 0.0000 0.0000 0.5000 (multiplicity 3)
O 0.0000 0.0000 0.2305 (multiplicity 6)
O 0.0511 0.5255 0.2237 (multiplicity 18)

The value obtained for the formation energy from raw total energies is -2321 meV per atom.


# 3
A geometry-optimized LiDyHoMo structure, computed with PBE-GGA.

a = 7.0407 Å, b = 7.0407 Å, c = 7.0407 Å
α = 90.00°, β = 90.00°, γ = 90.00°
Space group F-43m (No. 216)
Inequivalent atoms, fractional coordinates:
Li 0.0000 0.0000 0.0000 (multiplicity 4)
Dy 0.2500 0.2500 0.2500 (multiplicity 4)
Ho 0.2500 0.2500 0.7500 (multiplicity 4)
Mo 0.0000 0.0000 0.5000 (multiplicity 4)

For the energy of formation from the pure elements, the calculation gives 0.26 eV/atom.


Let's list theoretical density in order: 6.6 4.5 8.2 Mg/m³.